# Rb3TlCo

A relaxed Rb3TlCo crystal (PBE-GGA, Alexandria via LeMat-Bulk).

Summary:
E_form: 0.85 eV per atom
polymorph energy (0 for the lowest one): 0 kJ/mol of formula units
symmetry: Pm-3m, No. 221
D(E_F): 3.03 states/eV per atom
calculated volume: 273 Å³ per cell
mass density: 3.16 g cm⁻³
energy: -1.63 eV per atom

Cell: 6.4901 6.4901 6.4901 Å, 90.00 90.00 90.00°
With the nearest neighbours (Å) after each atom.
Fractional coordinates of all 5 atoms:
Rb1 0.5000 0.0000 0.0000  2 Co 3.25
Rb2 0.0000 0.5000 0.0000  2 Co 3.25
Rb3 0.0000 0.0000 0.5000  2 Co 3.25
Tl1 0.5000 0.5000 0.5000  12 Rb 4.59
Co1 0.0000 0.0000 0.0000  6 Rb 3.25